No. 1
DFT (PBE) results for crystalline Sm2HoErTh at its relaxed geometry.

symmetry	Pmma
crystal system	orthorhombic
formation enthalpy at 0 K	0.32	eV per atom
total DFT energy (no corrections)	-4.878	eV per atom
total magnetic moment	0.000	μB per formula unit
D(E_F)	1.42	states/eV/atom
density	8.49	Mg/m³

Unit cell a=6.232 b=7.686 c=7.061 alpha=90.00 beta=90.00 gamma=90.00
Element x y z (fractional)
Sm 0.250 0.205 0.199
Sm 0.250 0.795 0.199
Sm 0.750 0.205 0.801
Sm 0.750 0.795 0.801
Ho 0.000 0.500 0.500
Ho 0.500 0.500 0.500
Er 0.250 0.000 0.653
Er 0.750 0.000 0.347
Th 0.250 0.500 0.906
Th 0.750 0.500 0.094


No. 2
DFT (PBE) results for crystalline SmHo2Er4Th at its relaxed geometry.

symmetry	P2/m
crystal system	monoclinic
formation enthalpy at 0 K	0.03	eV per atom
total DFT energy (no corrections)	-4.913	eV per atom
total magnetic moment	0.001	μB per formula unit
D(E_F)	1.46	states/eV/atom
density	9.15	Mg/m³

Unit cell a=5.020 b=5.028 c=9.928 alpha=90.00 beta=90.05 gamma=90.00
Element x y z (fractional)
Sm 0.000 0.000 0.000
Ho 0.000 0.000 0.500
Ho 0.500 0.500 0.000
Er 0.000 0.500 0.253
Er 0.000 0.500 0.747
Er 0.500 0.000 0.253
Er 0.500 0.000 0.747
Th 0.500 0.500 0.500


No. 3
DFT (PBE) results for crystalline Sm5Ho2ErTh at its relaxed geometry.

symmetry	Cmc2_1
crystal system	orthorhombic
formation enthalpy at 0 K	0.16	eV per atom
total DFT energy (no corrections)	-4.814	eV per atom
total magnetic moment	0.001	μB per formula unit
D(E_F)	1.58	states/eV/atom
density	8.15	Mg/m³

Unit cell a=10.559 b=10.559 c=10.551 alpha=90.00 beta=90.00 gamma=149.16
Element x y z (fractional)
Sm 0.014 0.986 0.500
Sm 0.277 0.723 0.793
Sm 0.294 0.706 0.186
Sm 0.387 0.613 0.506
Sm 0.481 0.519 0.225
Sm 0.519 0.481 0.725
Sm 0.613 0.387 0.006
Sm 0.706 0.294 0.686
Sm 0.723 0.277 0.293
Sm 0.986 0.014 0.000
Ho 0.112 0.888 0.219
Ho 0.115 0.885 0.793
Ho 0.885 0.115 0.293
Ho 0.888 0.112 0.719
Er 0.406 0.594 0.939
Er 0.594 0.406 0.439
Th 0.199 0.801 0.493
Th 0.801 0.199 0.993


No. 4
DFT (PBE) results for crystalline SmHoErTh2 at its relaxed geometry.

symmetry	Cmcm
crystal system	orthorhombic
formation enthalpy at 0 K	0.42	eV per atom
total DFT energy (no corrections)	-5.315	eV per atom
total magnetic moment	0.000	μB per formula unit
D(E_F)	1.42	states/eV/atom
density	9.10	Mg/m³

Unit cell a=8.491 b=8.491 c=6.652 alpha=90.00 beta=90.00 gamma=133.89
Element x y z (fractional)
Sm 0.153 0.847 0.750
Sm 0.847 0.153 0.250
Ho 0.254 0.746 0.250
Ho 0.746 0.254 0.750
Er 0.348 0.652 0.750
Er 0.652 0.348 0.250
Th 0.252 0.252 0.000
Th 0.252 0.252 0.500
Th 0.748 0.748 0.000
Th 0.748 0.748 0.500


No. 5
DFT (PBE) results for crystalline SmHo6Er3Th2 at its relaxed geometry.

symmetry	C2/m
crystal system	monoclinic
formation enthalpy at 0 K	0.03	eV per atom
total DFT energy (no corrections)	-5.029	eV per atom
total magnetic moment	0.000	μB per formula unit
D(E_F)	1.43	states/eV/atom
density	9.29	Mg/m³

Unit cell a=6.141 b=6.141 c=11.697 alpha=95.03 beta=95.03 gamma=119.94
Element x y z (fractional)
Sm 0.000 0.000 0.000
Ho 0.084 0.421 0.250
Ho 0.254 0.254 0.750
Ho 0.421 0.084 0.250
Ho 0.579 0.916 0.750
Ho 0.746 0.746 0.250
Ho 0.916 0.579 0.750
Er 0.166 0.834 0.500
Er 0.500 0.500 0.500
Er 0.834 0.166 0.500
Th 0.333 0.667 0.000
Th 0.667 0.333 0.000


No. 6
DFT (PBE) results for crystalline SmHo4Er2Th at its relaxed geometry.

symmetry	P4/mmm
crystal system	tetragonal
formation enthalpy at 0 K	0.03	eV per atom
total DFT energy (no corrections)	-4.916	eV per atom
total magnetic moment	0.000	μB per formula unit
D(E_F)	1.44	states/eV/atom
density	9.08	Mg/m³

Unit cell a=5.022 b=5.022 c=9.976 alpha=90.00 beta=90.00 gamma=90.00
Element x y z (fractional)
Sm 0.000 0.000 0.000
Ho 0.000 0.500 0.252
Ho 0.000 0.500 0.748
Ho 0.500 0.000 0.252
Ho 0.500 0.000 0.748
Er 0.000 0.000 0.500
Er 0.500 0.500 0.000
Th 0.500 0.500 0.500


No. 7
DFT (PBE) results for crystalline Sm4HoEr2Th at its relaxed geometry.

symmetry	P4/mmm
crystal system	tetragonal
formation enthalpy at 0 K	0.03	eV per atom
total DFT energy (no corrections)	-4.969	eV per atom
total magnetic moment	0.000	μB per formula unit
D(E_F)	1.39	states/eV/atom
density	8.53	Mg/m³

Unit cell a=5.054 b=5.054 c=10.159 alpha=90.00 beta=90.00 gamma=90.00
Element x y z (fractional)
Sm 0.000 0.500 0.249
Sm 0.000 0.500 0.751
Sm 0.500 0.000 0.249
Sm 0.500 0.000 0.751
Ho 0.000 0.000 0.500
Er 0.000 0.000 0.000
Er 0.500 0.500 0.500
Th 0.500 0.500 0.000


No. 8
DFT (PBE) results for crystalline Sm6HoEr2Th at its relaxed geometry.

symmetry	C2/c
crystal system	monoclinic
formation enthalpy at 0 K	0.15	eV per atom
total DFT energy (no corrections)	-4.797	eV per atom
total magnetic moment	0.000	μB per formula unit
D(E_F)	1.43	states/eV/atom
density	8.18	Mg/m³

Unit cell a=8.814 b=8.814 c=9.567 alpha=93.56 beta=93.56 gamma=116.06
Element x y z (fractional)
Sm 0.010 0.571 0.186
Sm 0.112 0.763 0.558
Sm 0.237 0.888 0.942
Sm 0.295 0.517 0.383
Sm 0.429 0.990 0.314
Sm 0.483 0.705 0.117
Sm 0.517 0.295 0.883
Sm 0.571 0.010 0.686
Sm 0.705 0.483 0.617
Sm 0.763 0.112 0.058
Sm 0.888 0.237 0.442
Sm 0.990 0.429 0.814
Ho 0.409 0.591 0.750
Ho 0.591 0.409 0.250
Er 0.202 0.296 0.052
Er 0.296 0.202 0.552
Er 0.704 0.798 0.448
Er 0.798 0.704 0.948
Th 0.032 0.968 0.250
Th 0.968 0.032 0.750


No. 9
DFT (PBE) results for crystalline Sm2Ho4ErTh at its relaxed geometry.

symmetry	P4/mmm
crystal system	tetragonal
formation enthalpy at 0 K	0.13	eV per atom
total DFT energy (no corrections)	-4.841	eV per atom
total magnetic moment	0.000	μB per formula unit
D(E_F)	1.83	states/eV/atom
density	8.83	Mg/m³

Unit cell a=5.874 b=5.874 c=7.407 alpha=90.00 beta=90.00 gamma=90.00
Element x y z (fractional)
Sm 0.000 0.000 0.000
Sm 0.500 0.500 0.500
Ho 0.000 0.500 0.249
Ho 0.000 0.500 0.751
Ho 0.500 0.000 0.249
Ho 0.500 0.000 0.751
Er 0.500 0.500 0.000
Th 0.000 0.000 0.500


No. 10
DFT (PBE) results for crystalline SmHoErTh at its relaxed geometry.

energy above the lowest structure with this stoichiometry	0.000	eV per atom
symmetry	R3m
crystal system	trigonal
formation enthalpy at 0 K	0.01	eV per atom
total DFT energy (no corrections)	-5.309	eV per atom
total magnetic moment	0.045	μB per formula unit
D(E_F)	1.51	states/eV/atom
density	9.29	Mg/m³

Unit cell a=11.642 b=11.642 c=11.642 alpha=17.73 beta=17.73 gamma=17.73
Element x y z (fractional)
Sm 0.000 0.000 0.000
Ho 0.248 0.248 0.248
Er 0.832 0.832 0.832
Th 0.417 0.417 0.417


No. 11
DFT (PBE) results for crystalline SmHo2Er5Th at its relaxed geometry.

symmetry	I4/mcm
crystal system	tetragonal
formation enthalpy at 0 K	0.32	eV per atom
total DFT energy (no corrections)	-4.581	eV per atom
total magnetic moment	0.000	μB per formula unit
D(E_F)	1.30	states/eV/atom
density	9.04	Mg/m³

Unit cell a=9.668 b=9.668 c=9.668 alpha=126.18 beta=126.18 gamma=79.58
Element x y z (fractional)
Sm 0.250 0.750 0.500
Sm 0.750 0.250 0.500
Ho 0.114 0.614 0.728
Ho 0.386 0.114 0.500
Ho 0.614 0.886 0.500
Ho 0.886 0.386 0.272
Er 0.000 0.000 0.000
Er 0.072 0.156 0.500
Er 0.156 0.656 0.084
Er 0.344 0.428 0.500
Er 0.428 0.928 0.084
Er 0.500 0.500 0.000
Er 0.572 0.072 0.916
Er 0.656 0.572 0.500
Er 0.844 0.344 0.916
Er 0.928 0.844 0.500
Th 0.250 0.250 0.000
Th 0.750 0.750 0.000


No. 12
DFT (PBE) results for crystalline Sm3Ho2Er6Th at its relaxed geometry.

symmetry	C2/m
crystal system	monoclinic
formation enthalpy at 0 K	0.02	eV per atom
total DFT energy (no corrections)	-4.822	eV per atom
total magnetic moment	0.000	μB per formula unit
D(E_F)	1.27	states/eV/atom
density	8.86	Mg/m³

Unit cell a=6.150 b=6.150 c=11.721 alpha=95.03 beta=95.03 gamma=119.99
Element x y z (fractional)
Sm 0.000 0.000 0.000
Sm 0.333 0.667 0.000
Sm 0.667 0.333 0.000
Ho 0.167 0.833 0.500
Ho 0.833 0.167 0.500
Er 0.087 0.417 0.253
Er 0.253 0.253 0.747
Er 0.417 0.087 0.253
Er 0.583 0.913 0.747
Er 0.747 0.747 0.253
Er 0.913 0.583 0.747
Th 0.500 0.500 0.500